Entry from Alexandria: a relaxed Ac2CrB2N6 crystal (PBE).

Its density of states at the Fermi level is 10.86 states/eV per cell. Its formation energy (no corrections) is -0.802 eV per atom. The calculation puts the volume at 382 Å³ per cell. Its density is 7.99 Mg/m³.

It has space group R-3m (No. 166, hexagonal axes), with a = 5.2855 Å, b = 5.2855 Å, c = 15.7722 Å, α = 90.00°, β = 90.00° and γ = 120.00°. The inequivalent atoms are Ac at (0.0000, 0.0000, 0.2278), Cr at (0.0000, 0.0000, 0.0000), B at (0.0000, 0.0000, 0.4096) and N at (0.0136, 0.5068, 0.2584).